A geometry-optimized La2NdAl7Cu2 structure, computed with PBE-GGA.

Cell lengths 9.289, 9.289, 9.289 Å; angles 35.22, 35.22, 35.22 degrees
Fractional positions:
La (0.142, 0.142, 0.142)
La (0.858, 0.858, 0.858)
Nd (0.000, 0.000, 0.000)
Al (0.071, 0.579, 0.579)
Al (0.421, 0.421, 0.929)
Al (0.421, 0.929, 0.421)
Al (0.500, 0.500, 0.500)
Al (0.579, 0.071, 0.579)
Al (0.579, 0.579, 0.071)
Al (0.929, 0.421, 0.421)
Cu (0.336, 0.336, 0.336)
Cu (0.664, 0.664, 0.664)

Size of the total moment in μB per atom: 0.00
Final energy in eV per atom: -4.4954
Space group: R-3m, No. 166